No. 1
# Ac6Sn3O2

A relaxed structure of Ac6Sn3O2 (PBE-GGA, Alexandria).

Computed properties:
V	361.2	Å³/cell
uncorrected energy	-61.94	eV/cell
symmetry	I4/mmm
uncorrected formation energy	-1.40	eV per atom

The structure in POSCAR format:
```
Ac6Sn3O2
1.0
-4.223 0.993 2.771
-2.735 -3.113 -3.054
6.358 -9.475 8.302
Ac O Sn
6 2 3
Direct
0.303 0.303 0.607
0.082 0.582 0.164
0.582 0.082 0.164
0.418 0.918 0.836
0.918 0.418 0.836
0.697 0.697 0.393
0.397 0.397 0.794
0.603 0.603 0.206
0.176 0.176 0.351
0.824 0.824 0.649
0.000 0.000 0.000
```

=====

No. 2
# TiSb2RuI

A relaxed structure of TiSb2RuI (PBE-GGA, Alexandria).

Computed properties:
polymorph energy (0 for the lowest one)	0.00	eV/f.u.
V	141.0	Å³/cell
uncorrected energy	-23.07	eV/cell
symmetry	P4/mmm
uncorrected formation energy	0.78	eV per atom

The structure in POSCAR format:
```
TiSb2RuI
1.0
-1.986 -3.586 -2.954
3.392 -3.315 1.743
-3.472 -1.420 4.057
Sb I Ru Ti
2 1 1 1
Direct
0.500 0.000 0.000
0.000 0.500 0.000
0.000 0.000 0.500
0.000 0.000 0.000
0.500 0.500 0.500
```

=====

No. 3
# Ba2CdHg4

A relaxed structure of Ba2CdHg4 (PBE-GGA, Alexandria).

Computed properties:
polymorph energy (0 for the lowest one)	1.07	eV/f.u.
V	264.9	Å³/cell
uncorrected energy	-7.78	eV/cell
symmetry	I4/mmm
formation energy from the elements	-259	meV per atom

The structure in POSCAR format:
```
Ba2CdHg4
1.0
5.471 0.000 0.000
0.000 5.471 0.000
2.736 2.736 8.849
Hg Ba Cd
4 2 1
Direct
0.000 0.500 0.000
0.828 0.828 0.344
0.500 0.000 0.000
0.172 0.172 0.656
0.366 0.366 0.268
0.634 0.634 0.732
0.000 0.000 0.000
```

=====

No. 4
# La2Tm6Sc

A relaxed structure of La2Tm6Sc (PBE-GGA, Alexandria).

Computed properties:
polymorph energy (0 for the lowest one)	0.00	eV/f.u.
V	292.7	Å³/cell
uncorrected energy	-41.27	eV/cell
symmetry	C2/m
formation energy from the elements	194	meV per atom

The structure in POSCAR format:
```
La2Tm6Sc
1.0
-5.221 6.888 0.643
-2.466 -2.420 5.898
1.123 8.433 -0.032
La Tm Sc
2 6 1
Direct
0.724 0.719 0.438
0.276 0.281 0.562
0.218 0.317 0.158
0.782 0.683 0.842
0.218 0.841 0.158
0.661 0.297 0.594
0.782 0.159 0.842
0.339 0.703 0.406
0.000 0.000 0.000
```